Material: SrCrNi
Method: DFT, PBE
State: relaxed

abc: 4.859 4.859 4.859
angles: 60.00 60.00 60.00
Site moments in Bohr magnetons follow the coordinates.
Fractional positions:
Ni  0.500  0.500  0.500  -0.06
Cr  0.000  0.000  0.000  4.07
Sr  0.750  0.750  0.750  0.09

## Properties
The calculation puts the total energy at -4.38 eV per atom. The magnetization is 4.77 μB/f.u. Its crystal system is cubic. Its formation energy from the elements is 1.311 eV per atom. The density of states at the Fermi level comes out at 3.031 states/eV/cell.